DFT (PBE) results for crystalline NaMgSn2Br6 at its relaxed geometry.

Values from the calculation:
* size of the total moment: 1.00 μB per formula unit
* space group: P1 (1)
* E_form (uncorrected): -0.951 eV per atom

Lattice parameters (Å, degrees): 7.353 7.440 8.625 70.98 57.29 61.63
Element x y z (fractional)
1 Na 0.917 0.756 0.546
2 Br 0.522 0.262 0.219
3 Br 0.477 0.644 0.770
4 Br 0.940 0.636 0.227
5 Br 0.116 0.403 0.792
6 Br 0.135 0.050 0.218
7 Br 0.719 0.062 0.790
8 Sn 0.991 0.018 0.979
9 Sn 0.520 0.500 0.468
10 Mg 0.324 0.331 0.007